A relaxed structure of NdGaPt4. Source: Alexandria, functional PBE-GGA.

Values from the calculation:
Spin magnetization: 0.0 μB per formula unit
Energy above the most stable polymorph in this dataset: 0 meV per atom
Formation energy from the elements: -0.801 eV per atom
Energy: -73.52 eV for the cell shown

Cell: 8.202 8.202 6.868 Å, 90.00 90.00 151.90°
Element x y z (fractional)
Nd 0.103 0.897 0.750
Nd 0.897 0.103 0.250
Ga 0.237 0.763 0.250
Ga 0.763 0.237 0.750
Pt 0.078 0.922 0.250
Pt 0.323 0.677 0.548
Pt 0.323 0.677 0.952
Pt 0.500 0.500 0.000
Pt 0.500 0.500 0.500
Pt 0.677 0.323 0.048
Pt 0.677 0.323 0.452
Pt 0.922 0.078 0.750


A relaxed structure of CsK2PuCl8. Source: Alexandria, functional PBE-GGA.

Values from the calculation:
Spin magnetization: 4.2 μB per formula unit
Formation energy from raw total energies: -1.683 eV/atom
Energy: -52.35 eV for the cell shown

Cell: 6.584 10.160 6.652 Å, 90.00 94.45 90.00°
Element x y z (fractional)
Cs 0.000 0.000 0.000
K 0.500 0.257 0.500
K 0.500 0.743 0.500
Pu 0.000 0.500 0.000
Cl 0.219 0.500 0.338
Cl 0.229 0.316 0.877
Cl 0.229 0.684 0.877
Cl 0.245 0.000 0.495
Cl 0.755 0.000 0.505
Cl 0.771 0.316 0.123
Cl 0.771 0.684 0.123
Cl 0.781 0.500 0.662


A relaxed structure of YGa3Bi. Source: Alexandria, functional PBE-GGA.

Values from the calculation:
Spin magnetization: 0.0 μB per formula unit
Energy above the most stable polymorph in this dataset: 0 meV per atom
Formation energy from the elements: 0.563 eV per atom
Energy: -16.61 eV for the cell shown

Cell: 5.392 5.392 5.392 Å, 90.00 90.00 90.00°
Element x y z (fractional)
Y 0.000 0.000 0.000
Ga 0.000 0.500 0.500
Ga 0.500 0.000 0.500
Ga 0.500 0.500 0.000
Bi 0.500 0.500 0.500


A relaxed structure of Ba2Mg16Cd. Source: Alexandria, functional PBE-GGA.

Values from the calculation:
Spin magnetization: 0.0 μB per formula unit
Formation energy from the elements: -0.084 eV per atom
Energy: -31.88 eV for the cell shown

Cell: 8.013 8.013 8.013 Å, 82.85 82.85 82.85°
Element x y z (fractional)
Ba 0.000 0.000 0.000
Ba 0.325 0.325 0.325
Mg 0.010 0.010 0.511
Mg 0.010 0.511 0.010
Mg 0.164 0.662 0.662
Mg 0.316 0.316 0.815
Mg 0.316 0.815 0.316
Mg 0.371 0.663 0.955
Mg 0.371 0.955 0.663
Mg 0.511 0.010 0.010
Mg 0.662 0.164 0.662
Mg 0.662 0.662 0.164
Mg 0.663 0.371 0.955
Mg 0.663 0.955 0.371
Mg 0.756 0.756 0.756
Mg 0.815 0.316 0.316
Mg 0.955 0.371 0.663
Mg 0.955 0.663 0.371
Cd 0.562 0.562 0.562